No. 1
GGA-PBEsol Mn3AlAg, relaxed; E = -29.6 eV/cell
1.0
4.7559 0.0000 0.0000
0.0000 4.7559 0.0000
0.0000 0.0000 4.7559
Mn Al Ag
3 1 1
Cartesian
0.0000 0.0000 2.3780 Mn
0.0000 2.3780 0.0000 Mn
2.3780 0.0000 0.0000 Mn
2.3780 2.3780 2.3780 Al
0.0000 0.0000 0.0000 Ag


No. 2
GGA-PBEsol AlAg4Mo, relaxed; E = -25.7 eV/cell
1.0
0.0000 3.7317 3.7317
3.7317 0.0000 3.7317
3.7317 3.7317 0.0000
Al Ag Mo
1 4 1
Cartesian
0.0000 0.0000 0.0000 Al
2.7994 2.7994 2.7994 Ag
4.6640 4.6640 2.7994 Ag
4.6640 2.7994 4.6640 Ag
2.7994 4.6640 4.6640 Ag
5.5975 5.5975 5.5975 Mo